10
Lattice="7.2787 -0.0238 -0.0015 -0.0239 7.3724 0.0190 -0.0032 0.0277 9.6934" Properties=species:S:1:pos:R:3 comment="PBE SnIBr3, relaxed" de_polymorph_mev_per_atom=0 energy_ev_per_atom=-2.6964 spacegroup="P1, No. 1" formation_energy_uncorrected_mev_per_atom=-582.1 pbc="T T T"
Sn 1.9662 6.2338 6.7975
Sn 5.6138 3.7366 1.9642
I 2.6314 3.6410 6.8292
I 6.2559 6.3352 1.9486
Br 3.1564 3.3568 1.9620
Br 2.9541 0.0346 8.7564
Br 6.5648 2.6023 3.9691
Br 6.7865 6.5781 6.8228
Br 6.5651 2.6146 9.6618
Br 2.8881 7.3640 4.7772

---

18
Lattice="-7.6440 -3.4141 1.7739 0.6635 -6.7386 10.2657 -6.6076 7.7743 6.8655" Properties=species:S:1:pos:R:3 comment="PBE SnI2Br6, relaxed" energy_ev_per_atom=-2.2657 spacegroup="C2/c, No. 15" formation_energy_uncorrected_mev_per_atom=-361.2 pbc="T T T"
Sn -2.1469 -5.7969 10.2886
Sn -11.4412 3.4184 8.6165
I -3.6046 -2.1278 7.0569
I -4.6459 -1.5687 11.6700
I -9.9835 -0.2506 11.8481
I -8.9422 -0.8097 7.2351
Br -6.2908 -1.4688 7.1308
Br -11.1286 -2.5979 12.6568
Br -7.2972 -0.9096 11.7742
Br -2.4594 0.2195 6.2483
Br -4.8605 4.5975 6.6199
Br -9.1117 3.1263 9.4313
Br -8.7276 -6.9759 12.2852
Br -4.4764 -5.5048 9.4738
Br -6.0954 -3.0061 3.4001
Br -10.7401 -2.2263 16.6606
Br -7.4927 0.6277 15.5050
Br -2.8480 -0.1521 2.2444

---

12
Lattice="-2.3549 -7.3026 -1.7790 6.1431 -0.7311 -5.4151 1.4022 -2.4059 7.7357" Properties=species:S:1:pos:R:3 comment="PBE Sn2IBr3, relaxed" de_polymorph_mev_per_atom=61 energy_ev_per_atom=-3.0623 spacegroup="C2/m, No. 12" formation_energy_uncorrected_mev_per_atom=-633.3 pbc="T T T"
Sn 4.2404 -4.6386 -4.2928
Sn 4.5348 -1.2992 -0.9539
Sn 3.0105 -1.8378 3.2745
Sn 0.9500 -5.8010 4.8345
I 2.6655 -3.1629 0.5581
I 2.5249 -7.2767 -0.0165
Br 1.3652 -5.8629 -3.9450
Br -0.9563 -6.6830 2.4946
Br 3.8252 -4.5767 4.4867
Br -1.2534 -5.4990 -1.1522
Br 6.4438 -4.9405 1.6938
Br 6.1467 -3.7565 -1.9530

---

32
Lattice="-3.1231 7.3350 11.3252 10.0608 4.0859 8.5966 3.4914 13.6963 0.5607" Properties=species:S:1:pos:R:3 comment="PBE Sn3IBr12, relaxed" energy_ev_per_atom=-2.6436 spacegroup="R3c, No. 161" formation_energy_uncorrected_mev_per_atom=-541.5 pbc="T T T"
Sn 4.8420 19.8860 10.9134
Sn 6.3347 10.0513 6.4032
Sn 0.7042 13.6274 11.1281
Sn 2.4833 16.1874 4.4402
Sn 10.0828 16.4060 6.2691
Sn 8.6011 13.9667 13.2112
I 3.2747 11.8783 1.6784
I 4.9978 10.7406 11.3590
Br 0.5831 1.9306 2.0461
Br 4.8797 11.1003 4.6735
Br 8.5558 17.3658 18.6351
Br 4.7232 18.4327 12.9193
Br 5.1553 8.1673 7.5029
Br 0.2459 3.5501 5.7490
Br 2.5415 8.3131 10.8837
Br 5.2805 16.5315 16.6430
Br 2.5096 13.1538 9.4779
Br 0.8845 15.9998 11.8683
Br 0.9040 12.0955 13.0681
Br 6.9541 11.7732 8.0939
Br 4.1220 2.9733 5.5623
Br -0.9463 6.7271 9.5515
Br 11.4402 18.2120 13.8627
Br 7.3584 8.1882 11.6144
Br 4.4700 10.4882 14.7955
Br 2.5813 4.9944 8.5511
Br 6.3706 14.3480 12.1688
Br 7.4888 21.4359 18.3404
Br 8.8870 11.5629 13.7495
Br 7.4916 4.3624 7.3411
Br 10.3738 14.7234 11.6320
Br 8.7567 15.2964 15.3080

---

8
Lattice="8.6981 0.0000 0.0000 0.0000 8.6981 0.0000 4.3490 4.3490 3.5599" Properties=species:S:1:pos:R:3 comment="PBE Sn2IBr, relaxed" de_polymorph_mev_per_atom=0 energy_ev_per_atom=-2.9248 spacegroup="I-42d, No. 122" formation_energy_uncorrected_mev_per_atom=-117.6 pbc="T T T"
I 0.0000 0.0000 0.0000
I 8.6981 4.3490 1.7800
Sn 6.4188 2.1745 0.8900
Sn 2.2793 6.5236 0.8900
Sn 6.5236 6.6283 2.6700
Sn 10.8726 10.7679 2.6700
Br 4.3490 4.3490 0.0000
Br 4.3490 8.6981 1.7800

---

4
Lattice="0.0000 3.9245 3.9245 3.9245 0.0000 3.9245 3.9245 3.9245 0.0000" Properties=species:S:1:pos:R:3 comment="PBE SnIBr2, relaxed" de_polymorph_mev_per_atom=291 energy_ev_per_atom=-2.2854 spacegroup="Fm-3m, No. 225" formation_energy_uncorrected_mev_per_atom=-60.8 pbc="T T T"
I 3.9245 3.9245 3.9245
Sn 0.0000 0.0000 0.0000
Br 1.9623 1.9623 1.9623
Br 5.8868 5.8868 5.8868